A plane-wave DFT calculation with PBE-GGA was carried out for a geometry-optimized Tm2NiOs3 structure.

Output
E	-8.47	eV/atom
volume	17.135	Å³ per atom
energy of formation from the pure elements	-0.41	eV/atom

Lattice parameters (Å, degrees): 5.282 5.282 5.282 59.42 59.42 59.42
Fractional coordinates of all 6 atoms:
Tm: 0.123 0.123 0.123
Tm: 0.877 0.877 0.877
Ni: 0.500 0.500 0.500
Os: 0.000 0.500 0.500
Os: 0.500 0.000 0.500
Os: 0.500 0.500 0.000